[1]
# Y3AlHg

A geometry-optimized Y3AlHg structure (GGA-PBE, the Alexandria database).

abc: 5.4954 5.4954 5.4954
angles: 90.00 90.00 90.00
Closest atoms and distances in Å follow each position.
Space group Pm-3m (No. 221)
Unique sites:
Y 0.0000 0.0000 0.5000 (multiplicity 3)  2 Al 2.75
Al 0.0000 0.0000 0.0000 (multiplicity 1)  6 Y 2.75
Hg 0.5000 0.5000 0.5000 (multiplicity 1)  12 Y 3.89

Results
- ΔE_f (eV/f.u.) = 1.1
- polymorph energy (0 for the lowest one) (meV/atom) = 558.5

=====

[2]
# Y6Al2Hg

A geometry-optimized Y6Al2Hg structure (GGA-PBE, the Alexandria database).

abc: 9.7067 9.8622 10.5529
angles: 90.00 90.00 90.00
Closest atoms and distances in Å follow each position.
Space group Immm (No. 71)
Unique sites:
Y 0.0000 0.2087 0.1768 (multiplicity 8)  3 Al 2.95-3.10
Y 0.1809 0.2274 0.5000 (multiplicity 8)  3 Al 3.13-3.19, 1 Hg 3.21
Y 0.1984 0.5000 0.2521 (multiplicity 8)  2 Al 3.04-3.23, 2 Hg 3.25-3.28
Al 0.0000 0.0000 0.3773 (multiplicity 4)  1 Al 2.59
Al 0.1419 0.0000 0.0000 (multiplicity 4)  1 Al 2.75, 2 Y 3.04
Hg 0.0000 0.5000 0.0000 (multiplicity 2)  8 Y 3.28-3.43
Hg 0.0000 0.5000 0.5000 (multiplicity 2)  8 Y 3.21-3.25, 2 Al 3.48

Results
- ΔE_f (eV/f.u.) = -2.8

=====

[3]
# YAlHg

A geometry-optimized YAlHg structure (GGA-PBE, the Alexandria database).

abc: 4.3792 4.3792 11.4147
angles: 90.00 90.00 120.00
Closest atoms and distances in Å follow each position.
Space group P6_3/mmc (No. 194)
Unique sites:
Y 0.0000 0.0000 0.0000 (multiplicity 2)  2 Al 2.85
Al 0.0000 0.0000 0.2500 (multiplicity 2)  3 Hg 2.53
Hg 0.3333 0.6667 0.2500 (multiplicity 2)  3 Al 2.53

Results
- ΔE_f (eV/f.u.) = 1.3
- polymorph energy (0 for the lowest one) (meV/atom) = 911.3

=====

[4]
# YAlHg

A geometry-optimized YAlHg structure (GGA-PBE, the Alexandria database).

abc: 5.0785 8.7703 6.1961
angles: 90.00 90.00 90.00
Closest atoms and distances in Å follow each position.
Space group Cmcm (No. 63)
Unique sites:
Y 0.0000 0.1661 0.2500 (multiplicity 4)  5 Hg 2.93-3.10
Al 0.0000 0.5000 0.0000 (multiplicity 4)  2 Al 3.10, 6 Hg 3.30-3.32, 6 Y 3.31
Hg 0.0000 0.1675 0.7500 (multiplicity 4)  5 Y 2.93-3.10

Results
- ΔE_f (eV/f.u.) = -1.1
- polymorph energy (0 for the lowest one) (meV/atom) = 128.5

=====

[5]
# YAl2Hg

A geometry-optimized YAl2Hg structure (GGA-PBE, the Alexandria database).

abc: 3.4371 3.7596 6.8162
angles: 90.00 90.00 90.00
Closest atoms and distances in Å follow each position.
Space group Pmmm (No. 47)
Unique sites:
Y 0.0000 0.0000 0.0000 (multiplicity 1)  8 Al 3.23, 2 Hg 3.41, 2 Y 3.44
Al 0.5000 0.5000 0.2918 (multiplicity 2)  1 Al 2.84, 4 Hg 2.92
Hg 0.0000 0.0000 0.5000 (multiplicity 1)  8 Al 2.92

Results
- ΔE_f (eV/f.u.) = -0.5
- polymorph energy (0 for the lowest one) (meV/atom) = 224.4

=====

[6]
# YAlHg3

A geometry-optimized YAlHg3 structure (GGA-PBE, the Alexandria database).

abc: 5.0774 5.0774 5.0774
angles: 90.00 90.00 90.00
Closest atoms and distances in Å follow each position.
Space group Pm-3m (No. 221)
Unique sites:
Y 0.0000 0.0000 0.0000 (multiplicity 1)  12 Hg 3.59
Al 0.5000 0.5000 0.5000 (multiplicity 1)  6 Hg 2.54
Hg 0.0000 0.5000 0.5000 (multiplicity 3)  2 Al 2.54

Results
- ΔE_f (eV/f.u.) = 0.4
- polymorph energy (0 for the lowest one) (meV/atom) = 0.0

=====

[7]
# Y5Al2Hg

A geometry-optimized Y5Al2Hg structure (GGA-PBE, the Alexandria database).

abc: 7.7017 7.7017 14.8043
angles: 90.00 90.00 90.00
Closest atoms and distances in Å follow each position.
Space group I4/mcm (No. 140)
Unique sites:
Y 0.0000 0.0000 0.0000 (multiplicity 4)  4 Al 3.06
Y 0.1702 0.3298 0.1467 (multiplicity 16)  3 Al 3.14-3.15, 2 Hg 3.24, 1 Y 3.52
Al 0.1212 0.3788 0.5000 (multiplicity 8)  1 Al 2.64
Hg 0.0000 0.0000 0.2500 (multiplicity 4)  8 Y 3.24

Results
- ΔE_f (eV/f.u.) = -2.9

=====

[8]
# Y3AlHg2

A geometry-optimized Y3AlHg2 structure (GGA-PBE, the Alexandria database).

abc: 3.6821 3.6821 11.1302
angles: 90.00 90.00 90.00
Closest atoms and distances in Å follow each position.
Space group P4/mmm (No. 123)
Unique sites:
Y 0.0000 0.0000 0.0000 (multiplicity 1)  8 Hg 3.22
Y 0.0000 0.0000 0.3399 (multiplicity 2)  4 Al 3.16, 4 Hg 3.22
Al 0.5000 0.5000 0.5000 (multiplicity 1)  8 Y 3.16
Hg 0.5000 0.5000 0.1702 (multiplicity 2)  8 Y 3.22

Results
- ΔE_f (eV/f.u.) = -2.8

=====

Number 8 is which compound?
Y3AlHg2